## Rb2LaCrF6 (PBE with a Hubbard U)

Data for crystalline Rb2LaCrF6 at its relaxed geometry.

The space group is I4/mmm (No. 139) and the conventional cell measures 6.573, 6.573 and 9.556 Å, with angles of 90.00, 90.00 and 90.00 degrees. The asymmetric unit holds Rb at (0.000, 0.500, 0.250), La at (0.000, 0.000, 0.000), Cr at (0.000, 0.000, 0.500), F at (0.000, 0.000, 0.242) and F at (0.249, 0.249, 0.000).

As for the volume: 413 Å³ per cell. The theoretical density is 3.83 g/cm3. For the spin magnetization, the calculation gives 5.00 μB per formula unit. The crystal system is tetragonal. The value obtained for the total energy is -110.24 eV for the cell shown.